Compound: GdBeRh3
Source: Alexandria via LeMat-Bulk
Functional: PBE-GGA
Structure: optimized geometry

abc: 4.2745 4.2745 4.2745
angles: 90.00 90.00 90.00
Last column: magnetic moment on the atom in μB.
Sites, in units of the cell vectors:
1 Rh 0.5000 0.0000 0.0000  -0.04
2 Gd 0.5000 0.5000 0.5000  6.98
3 Be 0.0000 0.0000 0.0000  0.00
4 Rh 0.0000 0.5000 0.0000  -0.04
5 Rh 0.0000 0.0000 0.5000  -0.04

Properties
- spin magnetization (μB/f.u.) = 6.9
- ΔH_f (0 K) (meV per atom) = -558

=====

Compound: CrHRh3
Source: Alexandria via LeMat-Bulk
Functional: PBE-GGA
Structure: optimized geometry

abc: 3.8554 5.4685 5.4681
angles: 89.69 90.00 90.00
Last column: magnetic moment on the atom in μB.
Sites, in units of the cell vectors:
1 Cr 0.0433 0.6896 0.3705  2.29
2 H 0.5432 0.6793 0.8627  0.00
3 Rh 0.0430 0.6830 0.8590  -0.17
4 Rh 0.5430 0.4265 0.1154  -0.19
5 Rh 0.5430 0.4261 0.6087  -0.28
6 Cr 0.0433 0.1716 0.8525  2.29
7 Rh 0.0430 0.1750 0.3671  -0.28
8 H 0.0433 0.4256 0.1165  -0.01
9 Rh 0.5430 0.9333 0.1158  -0.28
10 Rh 0.5430 0.9334 0.6086  -0.28

Properties
- spin magnetization (μB/f.u.) = 1.6
- E above lowest polymorph (meV/atom) = 0

=====

Compound: Cd5InAu6
Source: Alexandria via LeMat-Bulk
Functional: PBE-GGA
Structure: optimized geometry

abc: 6.7974 7.1255 6.9655
angles: 59.24 80.26 70.69
Sites, in units of the cell vectors:
1 Au 0.7461 0.7542 0.0000
2 In 0.0000 0.0000 0.0000
3 Au 0.7527 0.0817 0.3319
4 Cd 0.0000 0.3356 0.3289
5 Cd 0.5000 0.1695 0.6609
6 Au 0.2473 0.5864 0.3319
7 Au 0.7527 0.4136 0.6681
8 Au 0.2473 0.9183 0.6681
9 Au 0.2539 0.2458 0.0000
10 Cd 0.5000 0.5000 0.0000
11 Cd 0.5000 0.8305 0.3391
12 Cd 0.0000 0.6644 0.6711

Properties
- spin magnetization (μB/f.u.) = 0.0
- E above lowest polymorph (meV/atom) = 107
- ΔH_f (0 K) (meV per atom) = -57

=====

Compound: Zn2CrRh
Source: Alexandria via LeMat-Bulk
Functional: PBE-GGA
Structure: optimized geometry

abc: 8.9379 8.9379 8.9379
angles: 17.37 17.37 17.37
Sites, in units of the cell vectors:
1 Zn 0.2446 0.2446 0.2446
2 Zn 0.0037 0.0037 0.0037
3 Cr 0.4962 0.4962 0.4962
4 Rh 0.7555 0.7555 0.7555

Properties
- spin magnetization (μB/f.u.) = 0.0
- E above lowest polymorph (meV/atom) = 131
- ΔH_f (0 K) (meV per atom) = -2

=====

Compound: Sr2MoPt
Source: Alexandria via LeMat-Bulk
Functional: PBE-GGA
Structure: optimized geometry

abc: 4.3979 4.8674 6.1276
angles: 66.55 90.00 90.00
Last column: magnetic moment on the atom in μB.
Sites, in units of the cell vectors:
1 Sr 0.0000 0.9823 0.9102  0.00
2 Pt 0.5000 0.5740 0.7265  0.00
3 Sr 0.5000 0.2716 0.3320  0.02
4 Mo 0.0000 0.6721 0.5313  0.54

Properties
- spin magnetization (μB/f.u.) = 0.7
- E above lowest polymorph (meV/atom) = 0
- ΔH_f (0 K) (meV per atom) = 133

=====

Compound: Tb2Pr2Y4Ho
Source: Alexandria via LeMat-Bulk
Functional: PBE-GGA
Structure: optimized geometry

abc: 3.6297 9.5828 9.6357
angles: 115.20 90.00 100.92
Sites, in units of the cell vectors:
1 Y 0.8145 0.6290 0.6647
2 Ho 0.0000 0.0000 0.0000
3 Y 0.5195 0.0390 0.3349
4 Pr 0.6650 0.3299 0.9978
5 Tb 0.1475 0.2949 0.6632
6 Tb 0.8525 0.7051 0.3368
7 Pr 0.3350 0.6701 0.0022
8 Y 0.1855 0.3710 0.3353
9 Y 0.4805 0.9610 0.6651

Properties
- spin magnetization (μB/f.u.) = 0.0
- ΔH_f (0 K) (meV per atom) = -2

=====

Compound: Na2Tl3Hg4
Source: Alexandria via LeMat-Bulk
Functional: PBE-GGA
Structure: optimized geometry

abc: 5.3928 5.3222 11.3234
angles: 62.80 76.27 58.38
Sites, in units of the cell vectors:
1 Hg 0.3332 0.2252 0.1062
2 Hg 0.6668 0.7748 0.8938
3 Tl 0.3331 0.9114 0.4239
4 Tl 0.6669 0.0886 0.5761
5 Hg 0.9992 0.3226 0.6712
6 Na 0.6666 0.4471 0.2206
7 Hg 0.0008 0.6774 0.3288
8 Tl 0.0000 0.0000 0.0000
9 Na 0.3334 0.5529 0.7794

Properties
- spin magnetization (μB/f.u.) = 0.0
- ΔH_f (0 K) (meV per atom) = -135

=====

Compound: Na3ReSn
Source: Alexandria via LeMat-Bulk
Functional: PBE-GGA
Structure: optimized geometry

abc: 5.8226 5.8226 5.8226
angles: 90.00 90.00 90.00
Last column: magnetic moment on the atom in μB.
Sites, in units of the cell vectors:
1 Na 0.0000 0.5000 0.0000  0.00
2 Re 0.5000 0.5000 0.5000  3.95
3 Na 0.0000 0.0000 0.5000  0.00
4 Sn 0.0000 0.0000 0.0000  0.13
5 Na 0.5000 0.0000 0.0000  0.01

Properties
- spin magnetization (μB/f.u.) = 5.2
- E above lowest polymorph (meV/atom) = 0
- ΔH_f (0 K) (meV per atom) = 1442

=====

Compound: TlIn2Hg6Pb
Source: Alexandria via LeMat-Bulk
Functional: PBE-GGA
Structure: optimized geometry

abc: 7.7036 8.8013 8.3882
angles: 90.00 92.31 90.00
Sites, in units of the cell vectors:
1 Tl 0.5000 0.0000 0.5000
2 Hg 0.1210 0.8573 0.9752
3 Hg 0.4074 0.3599 0.9277
4 Hg 0.9074 0.1401 0.4277
5 In 0.6390 0.3330 0.2500
6 Hg 0.5926 0.6401 0.0723
7 Hg 0.2673 0.6756 0.2746
8 Pb 0.0000 0.5000 0.5000
9 Hg 0.8790 0.1427 0.0248
10 Hg 0.2327 0.1756 0.2254
11 Hg 0.6210 0.6427 0.4752
12 In 0.1390 0.1670 0.7500
13 Hg 0.3790 0.3573 0.5248
14 Pb 0.5000 0.0000 0.0000
15 Hg 0.7327 0.3244 0.7254
16 In 0.8610 0.8330 0.2500
17 Tl 0.0000 0.5000 0.0000
18 Hg 0.0926 0.8599 0.5723
19 In 0.3610 0.6670 0.7500
20 Hg 0.7673 0.8244 0.7746

Properties
- spin magnetization (μB/f.u.) = 0.0
- ΔH_f (0 K) (meV per atom) = 38

=====

Compound: Cs2NaI6O
Source: Alexandria via LeMat-Bulk
Functional: PBE-GGA
Structure: optimized geometry

abc: 7.9168 7.9168 9.0753
angles: 64.14 64.14 90.00
Sites, in units of the cell vectors:
1 I 0.2884 0.7116 0.0000
2 Na 0.0000 0.0000 0.0000
3 I 0.7116 0.2884 0.0000
4 I 0.2109 0.2109 0.5782
5 I 0.7116 0.7116 0.0000
6 Cs 0.7500 0.2500 0.5000
7 Cs 0.2500 0.7500 0.5000
8 O 0.5000 0.5000 0.0000
9 I 0.2884 0.2884 0.0000
10 I 0.7891 0.7891 0.4218

Properties
- spin magnetization (μB/f.u.) = 0.0
- E (eV per atom) = -2.36

=====

Compound: LaOsO4
Source: Alexandria via LeMat-Bulk
Functional: PBE-GGA
Structure: optimized geometry

abc: 5.4780 5.4780 7.0357
angles: 112.91 112.91 90.00
Last column: magnetic moment on the atom in μB.
Sites, in units of the cell vectors:
1 O 0.6963 0.5784 0.8602  0.06
2 Os 0.5000 0.5000 0.0000  0.60
3 O 0.0318 0.9463 0.3602  0.06
4 O 0.5861 0.9682 0.6398  0.06
5 La 0.0000 0.0000 0.0000  0.03
6 O 0.0537 0.6716 0.6398  0.06
7 O 0.4216 0.8361 0.1398  0.06
8 O 0.7182 0.3037 0.1398  0.06
9 O 0.3284 0.4139 0.3602  0.06
10 O 0.1639 0.2818 0.8602  0.06
11 La 0.7500 0.2500 0.5000  0.03
12 Os 0.2500 0.7500 0.5000  0.60

Properties
- spin magnetization (μB/f.u.) = 1.0
- E above lowest polymorph (meV/atom) = 0

=====

Compound: Ca3MgTi
Source: Alexandria via LeMat-Bulk
Functional: PBE-GGA
Structure: optimized geometry

abc: 5.8152 5.8152 5.8152
angles: 90.00 90.00 90.00
Sites, in units of the cell vectors:
1 Mg 0.0000 0.0000 0.0000
2 Ca 0.5000 0.0000 0.0000
3 Ti 0.5000 0.5000 0.5000
4 Ca 0.0000 0.5000 0.0000
5 Ca 0.0000 0.0000 0.5000

Properties
- spin magnetization (μB/f.u.) = 0.0
- E above lowest polymorph (meV/atom) = 231
- ΔH_f (0 K) (meV per atom) = 968